#a
Compound: Dy2CuAg
Source: Alexandria
Functional: PBE
Structure: optimized geometry

Space group: P4/mmm

Structure (extended XYZ):
```
4
Lattice="3.544 0.000 0.000 0.000 3.544 0.000 0.000 0.000 7.143" Properties=species:S:1:pos:R:3 pbc="T T T"
Dy 0.000 0.000 1.686
Dy 0.000 0.000 5.457
Cu 1.772 1.772 0.000
Ag 1.772 1.772 3.572
```

---

#b
Compound: Dy2CuAg
Source: Alexandria
Functional: PBE
Structure: optimized geometry

Space group: Fm-3m

Structure (extended XYZ):
```
16
Lattice="7.125 0.000 0.000 0.000 7.125 0.000 0.000 0.000 7.125" Properties=species:S:1:pos:R:3 pbc="T T T"
Dy 1.781 1.781 1.781
Dy 1.781 1.781 5.344
Dy 1.781 5.344 1.781
Dy 1.781 5.344 5.344
Dy 5.344 1.781 1.781
Dy 5.344 1.781 5.344
Dy 5.344 5.344 1.781
Dy 5.344 5.344 5.344
Cu 0.000 0.000 0.000
Cu 0.000 3.562 3.562
Cu 3.562 0.000 3.562
Cu 3.562 3.562 0.000
Ag 0.000 0.000 3.562
Ag 0.000 3.562 0.000
Ag 3.562 0.000 0.000
Ag 3.562 3.562 3.562
```

---

#c
Compound: Dy2CuAg
Source: Alexandria
Functional: PBE
Structure: optimized geometry

Space group: R-3m

Structure (extended XYZ):
```
12
Lattice="4.053 0.000 0.000 -2.027 3.510 0.000 0.000 0.000 21.412" Properties=species:S:1:pos:R:3 pbc="T T T"
Dy 0.000 0.000 5.195
Dy 0.000 0.000 16.217
Dy 0.000 2.340 9.079
Dy 0.000 2.340 19.469
Dy 2.027 1.170 1.942
Dy 2.027 1.170 12.332
Cu 0.000 0.000 10.706
Cu 0.000 2.340 3.569
Cu 2.027 1.170 17.843
Ag 0.000 0.000 0.000
Ag 0.000 2.340 14.274
Ag 2.027 1.170 7.137
```

---

Best to worst by energy: #a, #b, #c.